Record 1
YZrAl2 | GGA-PBEsol | optimized geometry

a b c (Å): 3.112 5.218 5.851
angles (deg): 113.20 90.00 90.00
Positions (direct):
Zr1 0.000 0.000 0.500
Al1 0.500 0.500 0.500
Al2 0.000 0.000 0.000
Y1 0.500 0.500 0.000

Values from the calculation:
- Offset from the most stable computed form: 283 meV/atom
- Symmetry: P2/m
- ΔH_f (0 K): -0.1185 eV per atom

Record 2
TlIn2Hg | GGA-PBEsol | optimized geometry

a b c (Å): 3.293 4.488 6.827
angles (deg): 90.00 90.00 90.00
Positions (direct):
In1 0.500 0.500 0.242
Tl1 0.000 0.000 0.506
In2 0.000 0.000 0.991
Hg1 0.500 0.500 0.760

Values from the calculation:
- Symmetry: Pmm2
- ΔH_f (0 K): 0.0084 eV per atom

Record 3
SrLiTl2Cr | GGA-PBEsol | optimized geometry

a b c (Å): 5.692 6.050 6.050
angles (deg): 90.00 90.00 90.00
Positions (direct):
Li1 0.500 0.500 0.500
Sr1 0.000 0.000 0.000
Tl1 0.000 0.000 0.500
Tl2 0.000 0.500 0.000
Cr1 0.500 0.000 0.000

Values from the calculation:
- Symmetry: P4/mmm
- ΔH_f (0 K): 1.1076 eV per atom

Record 4
BaCu2Hg2O4 | GGA-PBEsol | optimized geometry

a b c (Å): 6.464 6.834 6.834
angles (deg): 90.00 90.00 90.00
Positions (direct):
O1 0.225 0.788 0.712
Hg1 0.760 0.500 0.000
O2 0.225 0.712 0.212
O3 0.775 0.712 0.788
O4 0.775 0.212 0.712
Cu1 0.500 0.250 0.250
Hg2 0.760 0.000 0.500
Hg3 0.240 0.000 0.500
O5 0.775 0.288 0.212
Ba1 0.000 0.500 0.500
O6 0.775 0.788 0.288
O7 0.225 0.212 0.288
Cu2 0.500 0.750 0.250
Cu3 0.500 0.750 0.750
Cu4 0.500 0.250 0.750
Hg4 0.240 0.500 0.000
Ba2 0.000 0.000 0.000
O8 0.225 0.288 0.788

Values from the calculation:
- Energy relative to the elements, uncorrected: -920 meV per atom
- Symmetry: P4/nbm

Record 5
CaZrSc2 | GGA-PBEsol | optimized geometry

a b c (Å): 3.176 3.176 11.834
angles (deg): 82.29 82.29 60.00
Positions (direct):
Ca1 0.500 0.500 0.500
Zr1 0.000 0.000 0.000
Sc1 0.083 0.083 0.751
Sc2 0.917 0.917 0.249

Values from the calculation:
- Offset from the most stable computed form: 231 meV/atom
- Symmetry: R-3m
- ΔH_f (0 K): 0.4274 eV per atom

Record 6
HfHS3 | GGA-PBEsol | optimized geometry

a b c (Å): 4.060 4.060 4.060
angles (deg): 90.00 90.00 90.00
Positions (direct):
S1 0.500 0.000 0.000
H1 0.000 0.000 0.000
Hf1 0.500 0.500 0.500
S2 0.000 0.500 0.000
S3 0.000 0.000 0.500

Values from the calculation:
- Uncorrected energy: -26.36 eV/cell
- Symmetry: Pm-3m

Record 7
MnRu2Rh | GGA-PBEsol | optimized geometry

a b c (Å): 2.634 4.543 4.548
angles (deg): 100.17 90.00 106.85
Positions (direct):
Ru1 0.254 0.509 0.259
Rh1 0.500 0.000 0.000
Ru2 0.746 0.491 0.741
Mn1 0.000 0.000 0.500

Values from the calculation:
- Symmetry: C2/m
- ΔH_f (0 K): 0.0773 eV per atom

Record 8
Co3Ir | GGA-PBEsol | optimized geometry

a b c (Å): 2.572 4.051 4.370
angles (deg): 90.00 90.00 90.00
Positions (direct):
Ir1 0.000 0.500 0.336
Co1 0.000 0.000 0.988
Co2 0.500 0.000 0.505
Co3 0.500 0.500 0.836

Values from the calculation:
- Symmetry: Pmm2
- ΔH_f (0 K): 0.0197 eV per atom

Record 9
ZrBeSiN2 | GGA-PBEsol | optimized geometry

a b c (Å): 4.083 4.083 4.908
angles (deg): 90.00 90.00 90.00
Positions (direct):
Zr1 0.000 0.000 0.000
Si1 0.500 0.500 0.500
N1 0.000 0.500 0.000
Be1 0.000 0.000 0.500
N2 0.500 0.000 0.000

Values from the calculation:
- Energy relative to the elements, uncorrected: 1066 meV per atom
- Symmetry: P4/mmm

Record 10
SiPbN3 | GGA-PBEsol | optimized geometry

a b c (Å): 3.737 3.737 3.737
angles (deg): 90.00 90.00 90.00
Positions (direct):
N1 0.000 0.500 0.000
Pb1 0.500 0.500 0.500
N2 0.500 0.000 0.000
Si1 0.000 0.000 0.000
N3 0.000 0.000 0.500

Values from the calculation:
- Energy relative to the elements, uncorrected: 523 meV per atom
- Symmetry: Pm-3m

Record 11
KLaTa2 | GGA-PBEsol | optimized geometry

a b c (Å): 2.809 5.774 6.519
angles (deg): 113.70 97.55 100.94
Positions (direct):
Ta1 0.500 0.500 0.500
K1 0.500 0.000 0.000
La1 0.000 0.500 0.000
Ta2 0.000 0.000 0.500

Values from the calculation:
- Symmetry: C2/m
- ΔH_f (0 K): 1.1678 eV per atom

Record 12
TlRuBr3 | GGA-PBEsol | optimized geometry

a b c (Å): 5.537 5.537 5.537
angles (deg): 90.00 90.00 90.00
Positions (direct):
Br1 0.000 0.000 0.500
Br2 0.000 0.500 0.000
Tl1 0.000 0.000 0.000
Br3 0.500 0.000 0.000
Ru1 0.500 0.500 0.500

Values from the calculation:
- Energy relative to the elements, uncorrected: 892 meV per atom
- Symmetry: Pm-3m

Record 13
Si2HgRh | GGA-PBEsol | optimized geometry

a b c (Å): 4.476 4.476 4.476
angles (deg): 60.00 60.00 60.00
Positions (direct):
Si1 0.000 0.000 0.000
Hg1 0.500 0.500 0.500
Si2 0.750 0.750 0.750
Rh1 0.250 0.250 0.250

Values from the calculation:
- Energy relative to the elements, uncorrected: 361 meV per atom
- Symmetry: F-43m

Record 14
NbSI3 | GGA-PBEsol | optimized geometry

a b c (Å): 5.377 5.377 5.377
angles (deg): 90.00 90.00 90.00
Positions (direct):
Nb1 0.500 0.500 0.500
I1 0.000 0.500 0.000
I2 0.500 0.000 0.000
S1 0.000 0.000 0.000
I3 0.000 0.000 0.500

Values from the calculation:
- Energy relative to the elements, uncorrected: 964 meV per atom
- Symmetry: Pm-3m

Record 15
RbTi2ZnCl | GGA-PBEsol | optimized geometry

a b c (Å): 5.458 5.487 5.487
angles (deg): 90.00 90.00 90.00
Positions (direct):
Ti1 0.000 0.500 0.000
Zn1 0.500 0.500 0.500
Ti2 0.000 0.000 0.500
Cl1 0.500 0.000 0.000
Rb1 0.000 0.000 0.000

Values from the calculation:
- Energy relative to the elements, uncorrected: 1680 meV per atom
- Symmetry: P4/mmm

Record 16
BeIn2Ni | GGA-PBEsol | optimized geometry

a b c (Å): 4.491 4.491 4.491
angles (deg): 60.00 60.00 60.00
Positions (direct):
Be1 0.500 0.500 0.500
In1 0.750 0.750 0.750
Ni1 0.250 0.250 0.250
In2 0.000 0.000 0.000

Values from the calculation:
- Offset from the most stable computed form: 386 meV/atom
- Symmetry: F-43m
- ΔH_f (0 K): 0.4497 eV per atom

Record 17
KPbW2S | GGA-PBEsol | optimized geometry

a b c (Å): 4.478 4.478 5.483
angles (deg): 90.00 90.00 90.00
Positions (direct):
W1 0.500 0.000 0.000
K1 0.000 0.000 0.500
Pb1 0.500 0.500 0.500
S1 0.000 0.000 0.000
W2 0.000 0.500 0.000

Values from the calculation:
- Energy relative to the elements, uncorrected: 1004 meV per atom
- Symmetry: P4/mmm

Record 18
ZrCd2Au | GGA-PBEsol | optimized geometry

a b c (Å): 2.943 4.476 6.111
angles (deg): 90.00 104.04 90.00
Positions (direct):
Cd1 0.820 0.000 0.012
Au1 0.674 0.500 0.724
Cd2 0.429 0.500 0.233
Zr1 0.077 0.000 0.531

Values from the calculation:
- Symmetry: Pm
- ΔH_f (0 K): -0.2585 eV per atom

Record 19
MnReAs | GGA-PBEsol | optimized geometry

a b c (Å): 2.878 2.878 5.098
angles (deg): 106.40 106.40 90.00
Positions (direct):
Re1 0.333 0.333 0.665
Mn1 0.657 0.657 0.315
As1 0.010 0.010 0.020

Values from the calculation:
- Offset from the most stable computed form: 79 meV/atom
- Symmetry: I4mm
- ΔH_f (0 K): 0.1367 eV per atom

Record 20
MgPtSCl2 | GGA-PBEsol | optimized geometry

a b c (Å): 4.509 4.509 5.123
angles (deg): 90.00 90.00 90.00
Positions (direct):
S1 0.000 0.000 0.500
Pt1 0.500 0.500 0.500
Cl1 0.000 0.500 0.000
Mg1 0.000 0.000 0.000
Cl2 0.500 0.000 0.000

Values from the calculation:
- Energy relative to the elements, uncorrected: 133 meV per atom
- Symmetry: P4/mmm